Material: Na3HRh
Method: DFT, GGA-PBE
State: relaxed

Properties
Symmetry   Pm-3m, No. 221
Magnetization   1.0 μB per cell
DOS at the Fermi energy   17.48 states/eV/cell
Offset from the most stable computed form   458 meV per atom

abc: 5.500 5.500 5.500
angles: 90.00 90.00 90.00
Each line ends with the local moment (μB).
Fractional coordinates of all 5 atoms:
1 Rh 0.000 0.000 0.000  0.71
2 Na 0.000 0.500 0.000  0.00
3 Na 0.500 0.000 0.000  0.00
4 Na 0.000 0.000 0.500  0.00
5 H 0.500 0.500 0.500  0.11

Material: Hg2OsRh
Method: DFT, GGA-PBE
State: relaxed

Properties
Symmetry   R3m, No. 160
Magnetization   0.0 μB per cell
DOS at the Fermi energy   3.48 states/eV/cell
ΔE_f   0.427 eV/atom
Offset from the most stable computed form   89 meV per atom

abc: 10.054 10.054 10.054
angles: 16.52 16.52 16.52
Fractional coordinates of all 4 atoms:
1 Rh 0.243 0.243 0.243
2 Hg 0.757 0.757 0.757
3 Os 0.509 0.509 0.509
4 Hg 0.991 0.991 0.991

Material: Cs2AcAs2O6
Method: DFT, GGA-PBE
State: relaxed

Properties
Symmetry   C2/m, No. 12
Magnetization   0.9 μB per cell
DOS at the Fermi energy   2.21 states/eV/cell
Formation energy from raw total energies   -1.92 eV/atom

abc: 6.383 6.357 7.946
angles: 113.19 90.00 120.14
Each line ends with the local moment (μB).
Fractional coordinates of all 11 atoms:
1 O 0.221 0.998 0.278  0.06
2 O 0.778 0.998 0.278  0.06
3 Ac 0.500 0.000 0.500  0.03
4 As 0.933 0.865 0.783  0.13
5 O 0.779 0.002 0.722  0.06
6 O 0.246 0.493 0.365  0.10
7 O 0.754 0.507 0.635  0.10
8 As 0.067 0.135 0.217  0.13
9 Cs 0.276 0.553 0.797  0.00
10 O 0.222 0.002 0.722  0.06
11 Cs 0.724 0.447 0.203  0.00

Material: K3Cd2Hg4Au2
Method: DFT, GGA-PBE
State: relaxed

Properties
Symmetry   P-3m1, No. 164
Magnetization   0.0 μB per cell
DOS at the Fermi energy   3.57 states/eV/cell
ΔE_f   -0.185 eV/atom

abc: 5.060 5.060 15.554
angles: 90.00 90.00 120.00
Fractional coordinates of all 11 atoms:
1 Hg 0.333 0.667 0.386
2 K 0.000 0.000 0.264
3 Hg 0.333 0.667 0.868
4 K 0.000 0.000 0.736
5 Cd 0.333 0.667 0.577
6 Hg 0.667 0.333 0.132
7 K 0.000 0.000 0.000
8 Hg 0.667 0.333 0.614
9 Au 0.667 0.333 0.864
10 Au 0.333 0.667 0.136
11 Cd 0.667 0.333 0.423

Material: LaErAlTl
Method: DFT, GGA-PBE
State: relaxed

Properties
Symmetry   F-43m, No. 216
Magnetization   0.0 μB per cell
DOS at the Fermi energy   1.36 states/eV/cell
ΔE_f   -0.341 eV/atom

abc: 5.365 5.365 5.365
angles: 60.00 60.00 60.00
Fractional coordinates of all 4 atoms:
1 Tl 0.000 0.000 0.000
2 Al 0.500 0.500 0.500
3 La 0.250 0.250 0.250
4 Er 0.750 0.750 0.750

Material: KNb2As2
Method: DFT, GGA-PBE
State: relaxed

Properties
Symmetry   I4/mmm, No. 139
Magnetization   0.0 μB per cell
DOS at the Fermi energy   3.68 states/eV/cell
ΔE_f   -0.415 eV/atom
Offset from the most stable computed form   0 meV per atom

abc: 4.147 4.147 7.573
angles: 74.11 74.11 90.00
Fractional coordinates of all 5 atoms:
1 Nb 0.250 0.750 0.500
2 As 0.368 0.368 0.264
3 As 0.632 0.632 0.736
4 Nb 0.750 0.250 0.500
5 K 0.000 0.000 0.000

Material: Sr2Ce3Pt4
Method: DFT, GGA-PBE
State: relaxed

Properties
Symmetry   P2_1/c, No. 14
Magnetization   5.6 μB per cell
DOS at the Fermi energy   40.27 states/eV/cell
ΔE_f   -0.925 eV/atom

abc: 7.860 7.973 7.940
angles: 90.00 90.00 110.29
Each line ends with the local moment (μB).
Fractional coordinates of all 18 atoms:
1 Ce 0.751 0.754 0.339  0.70
2 Sr 0.570 0.190 0.325  0.02
3 Pt 0.868 0.096 0.547  -0.01
4 Pt 0.132 0.904 0.453  -0.01
5 Ce 0.500 0.500 0.000  0.81
6 Ce 0.249 0.246 0.661  0.70
7 Sr 0.430 0.810 0.675  0.02
8 Ce 0.749 0.246 0.839  0.70
9 Ce 0.251 0.754 0.161  0.70
10 Ce 0.000 0.500 0.500  0.81
11 Sr 0.930 0.810 0.825  0.02
12 Pt 0.368 0.096 0.953  -0.01
13 Pt 0.871 0.509 0.131  -0.01
14 Sr 0.070 0.190 0.175  0.02
15 Pt 0.371 0.509 0.369  -0.01
16 Pt 0.629 0.491 0.631  -0.01
17 Pt 0.632 0.904 0.047  -0.01
18 Pt 0.129 0.491 0.869  -0.01

Material: Y2ScCd3
Method: DFT, GGA-PBE
State: relaxed

Properties
Symmetry   P4/mmm, No. 123
Magnetization   0.0 μB per cell
DOS at the Fermi energy   5.80 states/eV/cell
ΔE_f   -0.328 eV/atom

abc: 3.670 3.670 11.109
angles: 90.00 90.00 90.00
Fractional coordinates of all 6 atoms:
1 Y 0.500 0.500 0.827
2 Cd 0.000 0.000 0.000
3 Cd 0.000 0.000 0.350
4 Sc 0.500 0.500 0.500
5 Cd 0.000 0.000 0.650
6 Y 0.500 0.500 0.173

Please write out number 2 again, unchanged.
Material: Hg2OsRh
Method: DFT, GGA-PBE
State: relaxed

Properties
Symmetry   R3m, No. 160
Magnetization   0.0 μB per cell
DOS at the Fermi energy   3.48 states/eV/cell
ΔE_f   0.427 eV/atom
Offset from the most stable computed form   89 meV per atom

abc: 10.054 10.054 10.054
angles: 16.52 16.52 16.52
Fractional coordinates of all 4 atoms:
1 Rh 0.243 0.243 0.243
2 Hg 0.757 0.757 0.757
3 Os 0.509 0.509 0.509
4 Hg 0.991 0.991 0.991